# 1
The following is a PBE-GGA calculation of a relaxed structure of Sc4Be, from the Alexandria database.

Lattice parameters (Å, degrees): 6.774 6.774 4.627 90.00 90.00 90.00
Element x y z (fractional)
Sc (0.119, 0.308, 0.000)
Sc (0.192, 0.619, 0.500)
Sc (0.308, 0.881, 0.000)
Sc (0.381, 0.192, 0.500)
Sc (0.619, 0.808, 0.500)
Sc (0.692, 0.119, 0.000)
Sc (0.808, 0.381, 0.500)
Sc (0.881, 0.692, 0.000)
Be (0.000, 0.000, 0.500)
Be (0.500, 0.500, 0.000)

Calculated values
The calculation puts the formation enthalpy at 0 K at 0.179 eV/atom. The space group is No. 87.

***

# 2
The following is a PBE-GGA calculation of a relaxed structure of Pt3SeN, from the Alexandria database.

Lattice parameters (Å, degrees): 4.717 4.717 4.717 90.00 90.00 90.00
Element x y z (fractional)
Pt (0.000, 0.000, 0.500)
Pt (0.000, 0.500, 0.000)
Pt (0.500, 0.000, 0.000)
Se (0.000, 0.000, 0.000)
N (0.500, 0.500, 0.500)

Calculated values
The space group is No. 221. The uncorrected formation energy is 1751 meV/atom.

***

# 3
The following is a PBE-GGA calculation of a relaxed structure of Sm5Ag2Hg, from the Alexandria database.

Lattice parameters (Å, degrees): 6.025 6.025 16.707 90.00 90.00 132.51
Element x y z (fractional)
Sm (0.016, 0.984, 0.750)
Sm (0.156, 0.844, 0.542)
Sm (0.156, 0.844, 0.958)
Sm (0.455, 0.545, 0.599)
Sm (0.455, 0.545, 0.901)
Sm (0.545, 0.455, 0.099)
Sm (0.545, 0.455, 0.401)
Sm (0.844, 0.156, 0.042)
Sm (0.844, 0.156, 0.458)
Sm (0.984, 0.016, 0.250)
Ag (0.262, 0.738, 0.150)
Ag (0.262, 0.738, 0.350)
Ag (0.738, 0.262, 0.650)
Ag (0.738, 0.262, 0.850)
Hg (0.299, 0.701, 0.750)
Hg (0.701, 0.299, 0.250)

Calculated values
The calculation puts the formation enthalpy at 0 K at -0.106 eV/atom. The space group is No. 63.